Record 1
A plane-wave DFT calculation with PBE was carried out for a relaxed Mn2Ru crystal.

final energy	-9.152	eV/atom
energy relative to the elements	0.053	eV/atom
total moment	0.96	μB per formula unit

abc: 4.655 4.655 4.655
angles: 60.00 60.00 60.00
Element x y z (fractional)
Mn 0.000 0.000 0.000
Mn 0.000 0.000 0.500
Mn 0.000 0.500 0.000
Mn 0.500 0.000 0.000
Ru 0.375 0.375 0.375
Ru 0.625 0.625 0.625

***

Record 2
A plane-wave DFT calculation with PBE was carried out for a relaxed MnRu crystal.

final energy	-8.869	eV/atom
energy relative to the elements	0.353	eV/atom
total moment	0.18	μB per formula unit

abc: 7.281 7.281 4.087
angles: 90.00 90.00 90.00
Element x y z (fractional)
Mn 0.052 0.765 0.000
Mn 0.100 0.214 0.500
Mn 0.214 0.900 0.500
Mn 0.235 0.052 0.000
Mn 0.765 0.948 0.000
Mn 0.786 0.100 0.500
Mn 0.900 0.786 0.500
Mn 0.948 0.235 0.000
Ru 0.171 0.564 0.500
Ru 0.264 0.388 0.000
Ru 0.388 0.736 0.000
Ru 0.436 0.171 0.500
Ru 0.564 0.829 0.500
Ru 0.612 0.264 0.000
Ru 0.736 0.612 0.000
Ru 0.829 0.436 0.500

***

Record 3
A plane-wave DFT calculation with PBE was carried out for a relaxed MnRu crystal.

final energy	-8.183	eV/atom
energy relative to the elements	1.040	eV/atom
total moment	1.72	μB per formula unit

abc: 4.044 4.044 4.817
angles: 90.00 90.00 120.00
Element x y z (fractional)
Mn 0.333 0.667 0.250
Mn 0.667 0.333 0.750
Ru 0.333 0.667 0.750
Ru 0.667 0.333 0.250

***

Record 4
A plane-wave DFT calculation with PBE was carried out for a relaxed Mn2Ru crystal.

final energy	-9.043	eV/atom
energy relative to the elements	0.162	eV/atom
total moment	0.05	μB per formula unit

abc: 2.588 2.588 6.216
angles: 90.00 90.00 120.00
Element x y z (fractional)
Mn 0.333 0.667 0.155
Mn 0.667 0.333 0.845
Ru 0.000 0.000 0.500

***

Record 5
A plane-wave DFT calculation with PBE was carried out for a relaxed MnRu crystal.

final energy	-8.008	eV/atom
energy relative to the elements	1.215	eV/atom
total moment	1.03	μB per formula unit

abc: 5.247 5.247 5.247
angles: 90.00 90.00 90.00
Element x y z (fractional)
Mn 0.000 0.000 0.000
Mn 0.000 0.500 0.500
Mn 0.500 0.000 0.500
Mn 0.500 0.500 0.000
Ru 0.250 0.250 0.250
Ru 0.250 0.750 0.750
Ru 0.750 0.250 0.750
Ru 0.750 0.750 0.250

***

Record 6
A plane-wave DFT calculation with PBE was carried out for a relaxed MnRu3 crystal.

final energy	-9.213	eV/atom
energy relative to the elements	0.037	eV/atom
total moment	0.00	μB per formula unit

abc: 2.690 2.690 8.426
angles: 90.00 90.00 120.00
Element x y z (fractional)
Mn 0.000 0.000 0.000
Ru 0.000 0.000 0.500
Ru 0.333 0.667 0.239
Ru 0.333 0.667 0.761